LiSm2RhO6: relaxed, PBE.

Computed properties:
Raw formation energy = -2274 meV per atom

The structure in CIF format:
```
data_LiSm2RhO6
_chemical_formula_sum 'Li2 Sm4 Rh2 O12'
_space_group_name_H-M_alt 'P 1 21/c 1'
_space_group_IT_number 14
_space_group_name_Hall '-P 2ybc'
_cell_length_a 5.3764
_cell_length_b 5.8163
_cell_length_c 9.3194
_cell_angle_alpha 90.00
_cell_angle_beta 124.59
_cell_angle_gamma 90.00
loop_
_atom_site_label
_atom_site_type_symbol
_atom_site_fract_x
_atom_site_fract_y
_atom_site_fract_z
Li1 Li 0.0000 0.0000 0.0000
Sm1 Sm 0.2285 0.0792 0.7480
Rh1 Rh 0.5000 0.0000 0.5000
O1 O 0.1442 0.1842 0.4487
O2 O 0.2686 0.7076 0.4447
O3 O 0.3583 0.0335 0.2527
```

---

Pr2Nd3Cd2: relaxed, PBE.

Computed properties:
Energy of formation from the pure elements = -0.1517 eV/atom
E above lowest polymorph = 0.000 eV/atom

The structure in CIF format:
```
data_Pr2Nd3Cd2
_chemical_formula_sum 'Pr6 Nd9 Cd6'
_space_group_name_H-M_alt 'R -3 m'
_space_group_IT_number 166
_space_group_name_Hall '-R 3 2"'
_cell_length_a 5.5957
_cell_length_b 5.5957
_cell_length_c 24.7341
_cell_angle_alpha 90.00
_cell_angle_beta 90.00
_cell_angle_gamma 120.00
loop_
_atom_site_label
_atom_site_type_symbol
_atom_site_fract_x
_atom_site_fract_y
_atom_site_fract_z
Pr1 Pr 0.0000 0.0000 0.0751
Nd1 Nd 0.0000 0.0000 0.3422
Nd2 Nd 0.0000 0.0000 0.5000
Cd1 Cd 0.0000 0.0000 0.2114
```

---

Zr2SnGe2: relaxed, PBE.

Computed properties:
Energy of formation from the pure elements = -0.4073 eV/atom
E above lowest polymorph = 0.000 eV/atom

The structure in CIF format:
```
data_Zr2SnGe2
_chemical_formula_sum 'Zr4 Sn2 Ge4'
_space_group_name_H-M_alt 'P 4/m b m'
_space_group_IT_number 127
_space_group_name_Hall '-P 4 2ab'
_cell_length_a 7.3241
_cell_length_b 7.3241
_cell_length_c 3.8015
_cell_angle_alpha 90.00
_cell_angle_beta 90.00
_cell_angle_gamma 90.00
loop_
_atom_site_label
_atom_site_type_symbol
_atom_site_fract_x
_atom_site_fract_y
_atom_site_fract_z
Zr1 Zr 0.1702 0.3298 0.0000
Sn1 Sn 0.0000 0.0000 0.5000
Ge1 Ge 0.1279 0.6279 0.5000
```

---

Cs2MnAsCl6: relaxed, PBE.

Computed properties:
Raw formation energy = -1242 meV per atom

The structure in CIF format:
```
data_Cs2MnAsCl6
_chemical_formula_sum 'Cs4 Mn2 As2 Cl12'
_space_group_name_H-M_alt 'I 4/m m m'
_space_group_IT_number 139
_space_group_name_Hall '-I 4 2'
_cell_length_a 7.3266
_cell_length_b 7.3266
_cell_length_c 11.5859
_cell_angle_alpha 90.00
_cell_angle_beta 90.00
_cell_angle_gamma 90.00
loop_
_atom_site_label
_atom_site_type_symbol
_atom_site_fract_x
_atom_site_fract_y
_atom_site_fract_z
Cs1 Cs 0.0000 0.5000 0.2500
Mn1 Mn 0.0000 0.0000 0.0000
As1 As 0.0000 0.0000 0.5000
Cl1 Cl 0.0000 0.0000 0.2030
Cl2 Cl 0.2430 0.2430 0.5000
```

---

no.,total DFT energy (no corrections) (eV/f.u.)
1,-71.19
2,-26.75
3,-32.37
4,-39.02